CaFeClO2 | PBE+U | relaxed

Lattice parameters (Å, degrees): 3.574 3.574 13.172 82.58 82.58 80.26
Each line ends with the local moment (μB).
Sites, in units of the cell vectors:
Ca (0.652, 0.652, 0.823)  0.01
Ca (0.208, 0.208, 0.478)  0.01
O (0.944, 0.944, 0.133)  0.01
O (0.837, 0.837, 0.423)  0.01
O (0.442, 0.442, 0.988)  0.15
O (0.056, 0.056, 0.858)  0.08
Cl (0.410, 0.410, 0.266)  0.00
Cl (0.479, 0.479, 0.635)  0.00
Fe (0.091, 0.091, 0.000)  4.11
Fe (0.870, 0.870, 0.276)  3.43

Calculated values
DOS(E_F): 0.368 states/eV per atom
ΔE to the lowest computed polymorph: 38.1 kJ/mol of atoms
final energy: -27.86 eV per formula unit
mass density: 3.321 g/cm³